1.
Material: KYS2
Method: DFT, GGA-PBE
State: relaxed

The uncorrected formation energy is -1.511 eV per atom. For the density of states at the Fermi level, the calculation gives 0.00 states/eV/f.u. Its final energy is -5.465 eV per atom. The calculation puts the spin magnetization at 0.00 Bohr magnetons per cell.

Cell lengths 4.4951, 4.4951, 24.3907 Å; angles 90.00, 90.00, 120.00 degrees
Space group R3m (No. 160, hexagonal axes)
Unique sites:
K  0.0000  0.0000  0.0000 (multiplicity 3)
Y  0.0000  0.0000  0.4938 (multiplicity 3)
S  0.0000  0.0000  0.3944 (multiplicity 3)
S  0.0000  0.0000  0.8638 (multiplicity 3)


2.
Material: KYS2
Method: DFT, GGA-PBE
State: relaxed

The uncorrected formation energy is -1.388 eV per atom. For the density of states at the Fermi level, the calculation gives 0.00 states/eV/f.u. Its final energy is -5.342 eV per atom. The calculation puts the spin magnetization at 0.00 Bohr magnetons per cell.

Cell lengths 7.052, 7.052, 7.052 Å; angles 90.00, 90.00, 90.00 degrees
Space group Fm-3m (No. 225)
Unique sites:
K  0.000  0.000  0.000 (multiplicity 4)
Y  0.000  0.000  0.500 (multiplicity 4)
S  0.250  0.250  0.250 (multiplicity 8)


3.
Material: KYS2
Method: DFT, GGA-PBE
State: relaxed

The uncorrected formation energy is -1.624 eV per atom. For the density of states at the Fermi level, the calculation gives 0.00 states/eV/f.u. Its final energy is -5.578 eV per atom. The calculation puts the spin magnetization at 0.00 Bohr magnetons per cell.

Cell lengths 7.917, 7.917, 7.237 Å; angles 90.00, 90.00, 90.00 degrees
Space group I4/mcm (No. 140)
Unique sites:
K  0.000  0.000  0.250 (multiplicity 4)
Y  0.000  0.500  0.250 (multiplicity 4)
S  0.172  0.328  0.000 (multiplicity 8)


4.
Material: KYS2
Method: DFT, GGA-PBE
State: relaxed

The uncorrected formation energy is -1.867 eV per atom. For the density of states at the Fermi level, the calculation gives 0.00 states/eV/f.u. Its final energy is -5.821 eV per atom. The calculation puts the spin magnetization at 0.00 Bohr magnetons per cell.

Cell lengths 4.0346, 4.0346, 22.5591 Å; angles 90.00, 90.00, 120.00 degrees
Space group R3m (No. 160, hexagonal axes)
Unique sites:
K  0.0000  0.0000  0.0000 (multiplicity 3)
Y  0.0000  0.0000  0.1696 (multiplicity 3)
S  0.0000  0.0000  0.5697 (multiplicity 3)
S  0.0000  0.0000  0.7694 (multiplicity 3)


5.
Material: KYS3
Method: DFT, GGA-PBE
State: relaxed

The uncorrected formation energy is 0.271 eV per atom. As for the excess energy over the best structure of this formula in the dataset: 1295 meV per atom. For the density of states at the Fermi level, the calculation gives 5.55 states/eV/f.u. Its final energy is -3.718 eV per atom. The calculation puts the spin magnetization at 0.00 Bohr magnetons per cell.

Cell lengths 5.082, 5.082, 5.082 Å; angles 90.00, 90.00, 90.00 degrees
Space group Pm-3m (No. 221)
Unique sites:
K  0.000  0.000  0.000 (multiplicity 1)
Y  0.500  0.500  0.500 (multiplicity 1)
S  0.000  0.000  0.500 (multiplicity 3)


6.
Material: KYS2
Method: DFT, GGA-PBE
State: relaxed

The uncorrected formation energy is -1.290 eV per atom. For the density of states at the Fermi level, the calculation gives 0.14 states/eV/f.u. Its final energy is -5.244 eV per atom. The calculation puts the spin magnetization at 0.00 Bohr magnetons per cell.

Cell lengths 4.979, 4.979, 3.556 Å; angles 90.00, 90.00, 90.00 degrees
Space group P4/mmm (No. 123)
Unique sites:
K  0.000  0.000  0.000 (multiplicity 1)
Y  0.500  0.500  0.000 (multiplicity 1)
S  0.000  0.500  0.500 (multiplicity 2)


7.
Material: KYS2
Method: DFT, GGA-PBE
State: relaxed

The uncorrected formation energy is -1.798 eV per atom. For the density of states at the Fermi level, the calculation gives 0.00 states/eV/f.u. Its final energy is -5.752 eV per atom. The calculation puts the spin magnetization at 0.00 Bohr magnetons per cell.

Cell lengths 4.0893, 4.0893, 7.9674 Å; angles 90.00, 90.00, 120.00 degrees
Space group P3m1 (No. 156)
Unique sites:
K  0.0000  0.0000  0.0000 (multiplicity 1)
Y  0.6667  0.3333  0.5526 (multiplicity 1)
S  0.0000  0.0000  0.3802 (multiplicity 1)
S  0.3333  0.6667  0.7491 (multiplicity 1)


8.
Material: KYS2
Method: DFT, GGA-PBE
State: relaxed

The uncorrected formation energy is -1.762 eV per atom. For the density of states at the Fermi level, the calculation gives 0.00 states/eV/f.u. Its final energy is -5.716 eV per atom. The calculation puts the spin magnetization at 0.00 Bohr magnetons per cell.

Cell lengths 7.519, 4.453, 13.767 Å; angles 90.00, 90.00, 90.00 degrees
Space group Pnma (No. 62)
Unique sites:
K  0.087  0.250  0.136 (multiplicity 4)
Y  0.080  0.750  0.384 (multiplicity 4)
S  0.158  0.250  0.754 (multiplicity 4)
S  0.192  0.250  0.475 (multiplicity 4)


9.
Material: KYS2
Method: DFT, GGA-PBE
State: relaxed

The uncorrected formation energy is -1.444 eV per atom. For the density of states at the Fermi level, the calculation gives 0.00 states/eV/f.u. Its final energy is -5.398 eV per atom. The calculation puts the spin magnetization at 0.00 Bohr magnetons per cell.

Cell lengths 3.822, 22.059, 5.282 Å; angles 90.00, 90.00, 90.00 degrees
Space group Cmcm (No. 63)
Unique sites:
K  0.000  0.052  0.250 (multiplicity 4)
Y  0.000  0.317  0.250 (multiplicity 4)
S  0.000  0.097  0.750 (multiplicity 4)
S  0.000  0.198  0.250 (multiplicity 4)


10.
Material: KYS2
Method: DFT, GGA-PBE
State: relaxed

The uncorrected formation energy is -1.686 eV per atom. For the density of states at the Fermi level, the calculation gives 0.00 states/eV/f.u. Its final energy is -5.640 eV per atom. The calculation puts the spin magnetization at 0.00 Bohr magnetons per cell.

Cell lengths 8.007, 3.972, 15.460 Å; angles 90.00, 90.00, 90.00 degrees
Space group Pnma (No. 62)
Unique sites:
K  0.077  0.250  0.115 (multiplicity 4)
Y  0.030  0.750  0.394 (multiplicity 4)
S  0.074  0.750  0.704 (multiplicity 4)
S  0.211  0.250  0.485 (multiplicity 4)


11.
Material: KYS2
Method: DFT, GGA-PBE
State: relaxed

The uncorrected formation energy is -1.518 eV per atom. For the density of states at the Fermi level, the calculation gives 0.00 states/eV/f.u. Its final energy is -5.472 eV per atom. The calculation puts the spin magnetization at 0.00 Bohr magnetons per cell.

Cell lengths 4.4374, 4.4374, 7.6636 Å; angles 90.00, 90.00, 120.00 degrees
Space group P3m1 (No. 156)
Unique sites:
K  0.0000  0.0000  0.0000 (multiplicity 1)
Y  0.3333  0.6667  0.4783 (multiplicity 1)
S  0.3333  0.6667  0.7933 (multiplicity 1)
S  0.6667  0.3333  0.3490 (multiplicity 1)


12.
Material: KY3S
Method: DFT, GGA-PBE
State: relaxed

The uncorrected formation energy is 1.330 eV per atom. As for the excess energy over the best structure of this formula in the dataset: 1668 meV per atom. For the density of states at the Fermi level, the calculation gives 4.51 states/eV/f.u. Its final energy is -3.593 eV per atom. The calculation puts the spin magnetization at 0.00 Bohr magnetons per cell.

Cell lengths 5.426, 5.426, 5.426 Å; angles 90.00, 90.00, 90.00 degrees
Space group Pm-3m (No. 221)
Unique sites:
K  0.000  0.000  0.000 (multiplicity 1)
Y  0.000  0.000  0.500 (multiplicity 3)
S  0.500  0.500  0.500 (multiplicity 1)


13.
Material: KY2S
Method: DFT, GGA-PBE
State: relaxed

The uncorrected formation energy is -0.226 eV per atom. For the density of states at the Fermi level, the calculation gives 7.11 states/eV/f.u. Its final energy is -4.764 eV per atom. The calculation puts the spin magnetization at 3.48 Bohr magnetons per cell.

Cell lengths 6.986, 6.986, 15.780 Å; angles 90.00, 90.00, 90.00 degrees
Space group I4_1/amd (No. 141, origin choice 2)
Unique sites:
K  0.000  0.250  0.375 (multiplicity 4)
Y  0.000  0.000  0.000 (multiplicity 8)
S  0.000  0.250  0.875 (multiplicity 4)


14.
Material: KYS3
Method: DFT, GGA-PBE
State: relaxed

The uncorrected formation energy is -1.024 eV per atom. As for the excess energy over the best structure of this formula in the dataset: 0 meV per atom. For the density of states at the Fermi level, the calculation gives 4.99 states/eV/f.u. Its final energy is -5.013 eV per atom. The calculation puts the spin magnetization at 1.91 Bohr magnetons per cell.

Cell lengths 5.323, 5.323, 5.323 Å; angles 90.00, 90.00, 90.00 degrees
Space group Pm-3m (No. 221)
Unique sites:
K  0.000  0.000  0.000 (multiplicity 1)
Y  0.500  0.500  0.500 (multiplicity 1)
S  0.000  0.500  0.500 (multiplicity 3)


15.
Material: KYS2
Method: DFT, GGA-PBE
State: relaxed

The uncorrected formation energy is -1.832 eV per atom. For the density of states at the Fermi level, the calculation gives 0.00 states/eV/f.u. Its final energy is -5.786 eV per atom. The calculation puts the spin magnetization at 0.00 Bohr magnetons per cell.

Cell lengths 4.011, 5.812, 9.009 Å; angles 90.00, 90.03, 90.00 degrees
Space group P2_1/m (No. 11)
Unique sites:
K  0.249  0.250  0.393 (multiplicity 2)
Y  0.250  0.250  0.880 (multiplicity 2)
S  0.250  0.750  0.904 (multiplicity 2)
S  0.251  0.750  0.318 (multiplicity 2)


16.
Material: KYS2
Method: DFT, GGA-PBE
State: relaxed

The uncorrected formation energy is -1.537 eV per atom. For the density of states at the Fermi level, the calculation gives 0.00 states/eV/f.u. Its final energy is -5.491 eV per atom. The calculation puts the spin magnetization at 0.00 Bohr magnetons per cell.

Cell lengths 4.178, 4.178, 5.660 Å; angles 90.00, 90.00, 90.00 degrees
Space group P4/mmm (No. 123)
Unique sites:
K  0.000  0.000  0.000 (multiplicity 1)
Y  0.500  0.500  0.500 (multiplicity 1)
S  0.000  0.000  0.500 (multiplicity 1)
S  0.500  0.500  0.000 (multiplicity 1)


17.
Material: KYS2
Method: DFT, GGA-PBE
State: relaxed

The uncorrected formation energy is -1.745 eV per atom. For the density of states at the Fermi level, the calculation gives 0.00 states/eV/f.u. Its final energy is -5.699 eV per atom. The calculation puts the spin magnetization at 0.00 Bohr magnetons per cell.

Cell lengths 7.386, 5.519, 11.656 Å; angles 90.00, 90.00, 90.00 degrees
Space group Pnma (No. 62)
Unique sites:
K  0.060  0.250  0.122 (multiplicity 4)
Y  0.047  0.750  0.375 (multiplicity 4)
S  0.008  0.250  0.398 (multiplicity 4)
S  0.108  0.250  0.833 (multiplicity 4)


18.
Material: KYS2
Method: DFT, GGA-PBE
State: relaxed

The uncorrected formation energy is -1.674 eV per atom. For the density of states at the Fermi level, the calculation gives 0.00 states/eV/f.u. Its final energy is -5.628 eV per atom. The calculation puts the spin magnetization at 0.00 Bohr magnetons per cell.

Cell lengths 11.657, 11.656, 15.428 Å; angles 90.00, 100.73, 90.00 degrees
Space group C2/c (No. 15)
Unique sites:
K  0.030  0.186  0.373 (multiplicity 8)
K  0.219  0.437  0.124 (multiplicity 8)
Y  0.098  0.189  0.645 (multiplicity 8)
Y  0.150  0.437  0.855 (multiplicity 8)
S  0.000  0.061  0.750 (multiplicity 4)
S  0.000  0.435  0.250 (multiplicity 4)
S  0.053  0.312  0.960 (multiplicity 8)
S  0.198  0.062  0.543 (multiplicity 8)
S  0.248  0.187  0.250 (multiplicity 8)


19.
Material: KYS2
Method: DFT, GGA-PBE
State: relaxed

The uncorrected formation energy is -1.670 eV per atom. For the density of states at the Fermi level, the calculation gives 0.00 states/eV/f.u. Its final energy is -5.624 eV per atom. The calculation puts the spin magnetization at 0.00 Bohr magnetons per cell.

Cell lengths 7.303, 7.303, 10.153 Å; angles 90.00, 90.00, 90.00 degrees
Space group I-42d (No. 122)
Unique sites:
K  0.000  0.000  0.000 (multiplicity 4)
Y  0.000  0.000  0.500 (multiplicity 4)
S  0.187  0.250  0.625 (multiplicity 8)


20.
Material: KYS2
Method: DFT, GGA-PBE
State: relaxed

The uncorrected formation energy is -1.736 eV per atom. For the density of states at the Fermi level, the calculation gives 0.00 states/eV/f.u. Its final energy is -5.690 eV per atom. The calculation puts the spin magnetization at 0.00 Bohr magnetons per cell.

Cell lengths 5.834, 5.834, 12.047 Å; angles 90.00, 90.00, 90.00 degrees
Space group I4_1/amd (No. 141, origin choice 2)
Unique sites:
K  0.000  0.250  0.375 (multiplicity 4)
Y  0.000  0.250  0.875 (multiplicity 4)
S  0.000  0.250  0.099 (multiplicity 8)


21.
Material: KY6S8
Method: DFT, GGA-PBE
State: relaxed

The uncorrected formation energy is -1.829 eV per atom. For the density of states at the Fermi level, the calculation gives 7.91 states/eV/f.u. Its final energy is -6.690 eV per atom. The calculation puts the spin magnetization at 1.99 Bohr magnetons per cell.

Cell lengths 11.4103, 11.4103, 12.4429 Å; angles 90.00, 90.00, 120.00 degrees
Space group R-3 (No. 148, hexagonal axes)
Unique sites:
K  0.0000  0.0000  0.0000 (multiplicity 3)
Y  0.0008  0.1857  0.3785 (multiplicity 18)
S  0.0000  0.0000  0.2468 (multiplicity 6)
S  0.0065  0.2740  0.5863 (multiplicity 18)


22.
Material: K2YZn2S4
Method: DFT, GGA-PBE
State: relaxed

The uncorrected formation energy is -1.165 eV per atom. For the density of states at the Fermi level, the calculation gives 3.84 states/eV/f.u. Its final energy is -4.245 eV per atom. The calculation puts the spin magnetization at 0.01 Bohr magnetons per cell.

Cell lengths 15.689, 3.881, 7.885 Å; angles 90.00, 113.60, 90.00 degrees
Space group C2/m (No. 12)
Unique sites:
K  0.127  0.000  0.058 (multiplicity 4)
Y  0.000  0.000  0.500 (multiplicity 2)
Zn  0.185  0.500  0.523 (multiplicity 4)
S  0.033  0.500  0.284 (multiplicity 4)
S  0.190  0.000  0.713 (multiplicity 4)


23.
Material: KYZnS3
Method: DFT, GGA-PBE
State: relaxed

The uncorrected formation energy is -1.490 eV per atom. For the density of states at the Fermi level, the calculation gives 0.00 states/eV/f.u. Its final energy is -5.026 eV per atom. The calculation puts the spin magnetization at 0.00 Bohr magnetons per cell.

Cell lengths 8.767, 3.993, 9.500 Å; angles 90.00, 107.25, 90.00 degrees
Space group P2_1/m (No. 11)
Unique sites:
K  0.203  0.250  0.227 (multiplicity 2)
Y  0.333  0.750  0.857 (multiplicity 2)
Zn  0.084  0.250  0.607 (multiplicity 2)
S  0.114  0.250  0.856 (multiplicity 2)
S  0.197  0.750  0.535 (multiplicity 2)
S  0.458  0.750  0.154 (multiplicity 2)